## La2TbPm2Pr (PBE)

Data for crystalline La2TbPm2Pr at its relaxed geometry.

Geometry as POSCAR:
```
La2TbPm2Pr
1.0
6.7964 0.0000 0.0000
0.0000 18.2620 0.0000
0.0000 0.0000 3.4746
La Tb Pm Pr
4 2 4 2
Cartesian
1.5663 3.3583 0.0000
1.8319 12.4893 1.7373
4.9645 5.7727 1.7373
5.2300 14.9037 0.0000
0.0000 0.0000 0.0000
3.3982 9.1310 1.7373
1.5421 6.4419 1.7373
1.8561 15.5729 0.0000
4.9403 2.6891 0.0000
5.2543 11.8200 1.7373
0.0000 9.1310 0.0000
3.3982 0.0000 1.7373
```

## Properties
formation energy = 0.232 eV per atom
uncorrected energy = -54.75 eV/cell
space group = Pnnm